Entry from the Alexandria database: crystalline TiCr2P at its relaxed geometry (GGA-PBE).

Cell and atoms, written as extended XYZ:
```
8
Lattice="-3.5141 3.5141 2.3503 3.5141 -3.5141 2.3503 3.5141 3.5141 -2.3503" Properties=species:S:1:pos:R:3 pbc="T T T"
Ti 0.0000 0.0000 0.0000
Ti 0.0000 3.5141 1.1752
Cr 1.7571 -1.2136 1.7628
Cr 2.3005 1.7571 0.5876
Cr 1.7571 4.7277 -0.5876
Cr 1.2136 1.7571 2.9379
P 3.5141 0.0000 1.1752
P 0.0000 0.0000 2.3503
```

Values from the calculation:
- energy of formation from the pure elements (eV per atom) = 0.13
- crystal system = tetragonal
- N(E_F) (states/eV per atom) = 0.990
- uncorrected energy (eV per cell) = -64.04


Entry from the Alexandria database: crystalline TiCrP3 at its relaxed geometry (GGA-PBE).

Cell and atoms, written as extended XYZ:
```
5
Lattice="4.4393 0.0000 0.0000 0.0000 4.4393 0.0000 0.0000 0.0000 4.4393" Properties=species:S:1:pos:R:3 pbc="T T T"
Ti 0.0000 0.0000 0.0000
Cr 2.2197 2.2197 2.2197
P 0.0000 2.2197 2.2197
P 2.2197 0.0000 2.2197
P 2.2197 2.2197 0.0000
```

Values from the calculation:
- energy of formation from the pure elements (eV per atom) = 0.41
- crystal system = cubic
- N(E_F) (states/eV per atom) = 1.306
- uncorrected energy (eV per cell) = -31.72


Entry from the Alexandria database: crystalline TiCr2P3 at its relaxed geometry (GGA-PBE).

Cell and atoms, written as extended XYZ:
```
24
Lattice="5.5224 0.0000 0.0000 0.0000 3.1265 0.0000 -0.0705 0.0000 18.3647" Properties=species:S:1:pos:R:3 pbc="T T T"
Ti 0.0000 0.0000 0.0000
Ti -0.0398 0.0000 12.3009
Ti 2.7160 0.0000 6.8409
Ti 5.4790 0.0000 6.1184
Cr 2.6583 1.5632 3.0138
Cr 2.6061 1.5632 15.3132
Cr 2.6490 1.5632 9.2534
Cr 2.6950 0.0000 0.6602
Cr 2.6637 0.0000 12.9855
Cr 5.4068 1.5632 3.6570
Cr 5.3726 1.5632 16.0242
Cr 5.4158 1.5632 9.9903
P 1.0023 0.0000 8.5629
P 1.0112 0.0000 14.6363
P 1.0895 0.0000 2.3312
P 1.6347 1.5632 5.1844
P 1.6770 1.5632 17.4932
P 1.7252 1.5632 11.4400
P 3.7104 0.0000 10.6722
P 3.6932 0.0000 16.7261
P 3.8023 0.0000 4.4006
P 4.2831 1.5632 1.4522
P 4.2705 1.5632 13.7819
P 4.4168 1.5632 7.7847
```

Values from the calculation:
- energy of formation from the pure elements (eV per atom) = -0.69
- crystal system = monoclinic
- N(E_F) (states/eV per atom) = 0.630
- uncorrected energy (eV per cell) = -190.16


Entry from the Alexandria database: crystalline TiCrP3 at its relaxed geometry (GGA-PBE).

Cell and atoms, written as extended XYZ:
```
5
Lattice="4.6204 0.0000 0.0000 0.0000 4.6204 0.0000 0.0000 0.0000 4.6204" Properties=species:S:1:pos:R:3 pbc="T T T"
Ti 0.0000 0.0000 0.0000
Cr 2.3102 2.3102 2.3102
P 0.0000 0.0000 2.3102
P 0.0000 2.3102 0.0000
P 2.3102 0.0000 0.0000
```

Values from the calculation:
- energy of formation from the pure elements (eV per atom) = 0.90
- crystal system = cubic
- N(E_F) (states/eV per atom) = 1.437
- uncorrected energy (eV per cell) = -29.25


Entry from the Alexandria database: crystalline Ti3CrP at its relaxed geometry (GGA-PBE).

Cell and atoms, written as extended XYZ:
```
5
Lattice="4.4416 0.0000 0.0000 0.0000 4.4416 0.0000 0.0000 0.0000 4.4416" Properties=species:S:1:pos:R:3 pbc="T T T"
Ti 0.0000 0.0000 2.2208
Ti 0.0000 2.2208 0.0000
Ti 2.2208 0.0000 0.0000
Cr 0.0000 0.0000 0.0000
P 2.2208 2.2208 2.2208
```

Values from the calculation:
- energy of formation from the pure elements (eV per atom) = 0.53
- crystal system = cubic
- N(E_F) (states/eV per atom) = 1.099
- uncorrected energy (eV per cell) = -36.08


Entry from the Alexandria database: crystalline TiTl2CrP at its relaxed geometry (GGA-PBE).

Cell and atoms, written as extended XYZ:
```
5
Lattice="5.1971 0.0000 0.0000 0.0000 5.1971 0.0000 0.0000 0.0000 4.3529" Properties=species:S:1:pos:R:3 pbc="T T T"
Ti 0.0000 0.0000 0.0000
Tl 0.0000 2.5985 2.1764
Tl 2.5985 0.0000 2.1764
Cr 0.0000 0.0000 2.1764
P 2.5985 2.5985 0.0000
```

Values from the calculation:
- energy of formation from the pure elements (eV per atom) = 0.84
- crystal system = tetragonal
- N(E_F) (states/eV per atom) = 0.953
- uncorrected energy (eV per cell) = -23.45


Entry from the Alexandria database: crystalline ZrTiCrP2 at its relaxed geometry (GGA-PBE).

Cell and atoms, written as extended XYZ:
```
5
Lattice="4.8959 0.0000 0.0000 0.0000 4.8959 0.0000 0.0000 0.0000 4.7887" Properties=species:S:1:pos:R:3 pbc="T T T"
Zr 0.0000 0.0000 0.0000
Ti 0.0000 0.0000 2.3943
Cr 2.4479 2.4479 2.3943
P 0.0000 2.4479 0.0000
P 2.4479 0.0000 0.0000
```

Values from the calculation:
- energy of formation from the pure elements (eV per atom) = 1.37
- crystal system = tetragonal
- N(E_F) (states/eV per atom) = 1.175
- uncorrected energy (eV per cell) = -30.03


Entry from the Alexandria database: crystalline Tl2CrP at its relaxed geometry (GGA-PBE).

Cell and atoms, written as extended XYZ:
```
4
Lattice="0.0000 3.4707 3.4707 3.4707 0.0000 3.4707 3.4707 3.4707 0.0000" Properties=species:S:1:pos:R:3 pbc="T T T"
Tl 1.7353 1.7353 1.7353
Tl 5.2060 5.2060 5.2060
Cr 0.0000 0.0000 0.0000
P 3.4707 3.4707 3.4707
```

Values from the calculation:
- energy of formation from the pure elements (eV per atom) = 1.13
- crystal system = cubic
- N(E_F) (states/eV per atom) = 2.513
- uncorrected energy (eV per cell) = -15.23


Entry from the Alexandria database: crystalline Tl2CrP at its relaxed geometry (GGA-PBE).

Cell and atoms, written as extended XYZ:
```
4
Lattice="2.0723 -2.7300 0.0000 2.0723 2.7300 0.0000 0.0000 0.0000 8.0850" Properties=species:S:1:pos:R:3 pbc="T T T"
Tl 0.0000 0.0000 1.9530
Tl 0.0000 0.0000 6.1320
Cr 2.0723 0.0000 4.0425
P 2.0723 0.0000 0.0000
```

Values from the calculation:
- energy of formation from the pure elements (eV per atom) = 0.68
- crystal system = orthorhombic
- N(E_F) (states/eV per atom) = 0.659
- uncorrected energy (eV per cell) = -17.03


Entry from the Alexandria database: crystalline TlCr3P at its relaxed geometry (GGA-PBE).

Cell and atoms, written as extended XYZ:
```
5
Lattice="5.0702 0.0000 0.0000 0.0000 5.0702 0.0000 0.0000 0.0000 5.0702" Properties=species:S:1:pos:R:3 pbc="T T T"
Tl 0.0000 0.0000 0.0000
Cr 0.0000 0.0000 2.5351
Cr 0.0000 2.5351 0.0000
Cr 2.5351 0.0000 0.0000
P 2.5351 2.5351 2.5351
```

Values from the calculation:
- energy of formation from the pure elements (eV per atom) = 1.75
- crystal system = cubic
- N(E_F) (states/eV per atom) = 0.971
- uncorrected energy (eV per cell) = -27.91


Entry from the Alexandria database: crystalline Tl2CrP at its relaxed geometry (GGA-PBE).

Cell and atoms, written as extended XYZ:
```
4
Lattice="2.0086 1.1596 7.3262 -2.0086 1.1596 7.3262 0.0000 -2.3193 7.3262" Properties=species:S:1:pos:R:3 pbc="T T T"
Tl 0.0000 0.0000 0.0000
Tl 0.0000 0.0000 4.6191
Cr 0.0000 0.0000 16.8048
P 0.0000 0.0000 9.7385
```

Values from the calculation:
- energy of formation from the pure elements (eV per atom) = 0.13
- crystal system = trigonal
- N(E_F) (states/eV per atom) = 0.525
- uncorrected energy (eV per cell) = -19.26


Entry from the Alexandria database: crystalline Tl2CrP at its relaxed geometry (GGA-PBE).

Cell and atoms, written as extended XYZ:
```
8
Lattice="-4.9922 4.9922 2.3047 4.9922 -4.9922 2.3047 4.9922 4.9922 -2.3047" Properties=species:S:1:pos:R:3 pbc="T T T"
Tl 7.4884 1.4205 -0.5762
Tl 1.4205 2.4961 0.5762
Tl -2.4961 3.5718 1.7285
Tl 3.5718 2.4961 2.8808
Cr 4.9922 0.0000 1.1523
Cr 0.0000 0.0000 2.3047
P 0.0000 0.0000 0.0000
P 0.0000 4.9922 1.1523
```

Values from the calculation:
- energy of formation from the pure elements (eV per atom) = 0.40
- crystal system = tetragonal
- N(E_F) (states/eV per atom) = 0.769
- uncorrected energy (eV per cell) = -36.32